# 1
Entry from Alexandria: crystalline CoIrN at its relaxed geometry (PBE-GGA).

Geometry as CIF:
```
data_CoIrN
_cell_length_a 2.7396
_cell_length_b 2.7396
_cell_length_c 15.3006
_cell_angle_alpha 90.00
_cell_angle_beta 90.00
_cell_angle_gamma 120.00
_symmetry_space_group_name_H-M 'R 3 m'
_symmetry_Int_Tables_number 160
_symmetry_space_group_name_Hall 'R 3 -2"'
loop_
_atom_site_label
_atom_site_type_symbol
_atom_site_fract_x
_atom_site_fract_y
_atom_site_fract_z
Co1 Co 0.0000 0.0000 0.0000
Ir1 Ir 0.0000 0.0000 0.5227
N1 N 0.0000 0.0000 0.3935
```

## Properties
- energy relative to the elements, uncorrected (eV/atom) = 0.24
- total magnetization (μB/f.u.) = 0.00
- VASP energy (eV for the cell shown) = -70.7

---

# 2
Entry from Alexandria: crystalline Ta2HBr at its relaxed geometry (PBE-GGA).

Geometry as CIF:
```
data_Ta2HBr
_cell_length_a 6.203
_cell_length_b 6.203
_cell_length_c 6.203
_cell_angle_alpha 90.00
_cell_angle_beta 90.00
_cell_angle_gamma 90.00
_symmetry_space_group_name_H-M 'F m -3 m'
_symmetry_Int_Tables_number 225
_symmetry_space_group_name_Hall '-F 4 2 3'
loop_
_atom_site_label
_atom_site_type_symbol
_atom_site_fract_x
_atom_site_fract_y
_atom_site_fract_z
Ta1 Ta 0.250 0.250 0.250
H1 H 0.000 0.000 0.000
Br1 Br 0.000 0.000 0.500
```

## Properties
- total magnetization (μB/f.u.) = 0.00
- VASP energy (eV for the cell shown) = -95.8

---

The evaluated energy relative to the lowest polymorph listed for this composition for the records listed, in turn: 0 648 meV per atom.
The evaluated mass density for the records listed, in turn: 13.28 12.32 g cm⁻³.